Entry 1:
Material: Tc2MoCl
Method: DFT, PBE
State: optimized geometry

- excess energy over the best structure of this formula in the dataset (eV per atom) = 0.396

Cell lengths 2.879, 4.543, 4.569 Å; angles 90.00, 90.00, 90.00 degrees
Space group Pmmm (No. 47)
Inequivalent atoms, fractional coordinates:
Tc  0.000  0.000  0.000
Tc  0.500  0.000  0.500
Mo  0.000  0.500  0.500
Cl  0.500  0.500  0.000

***

Entry 2:
Material: TcMo4Cl
Method: DFT, PBE
State: optimized geometry

Cell lengths 7.405, 7.405, 7.405 Å; angles 90.00, 90.00, 90.00 degrees
Space group F-43m (No. 216)
Inequivalent atoms, fractional coordinates:
Tc  0.000  0.000  0.000
Mo  0.125  0.125  0.375
Cl  0.250  0.250  0.750

***

Number 1: final energy -30.65 eV per cell, formation energy without anion corrections 0.689 eV per atom, calculated volume 14.94 Å³/atom. Number 2: final energy -199.71 eV per cell, formation energy without anion corrections 0.935 eV per atom, calculated volume 16.92 Å³/atom.